The following is a DFT calculation (PBE with a Hubbard U) of a relaxed Co2SiO4 crystal.

Structure (POSCAR):
```
Co2SiO4
1.0
-0.5868 -3.5626 -4.5087
3.6097 -4.4633 -0.6431
-1.9030 -5.3933 0.8092
Co Si O
4 2 8
direct
0.6250 0.6250 0.1250 Co
0.6250 0.6250 0.6250 Co
0.6250 0.1250 0.6250 Co
0.1250 0.6250 0.6250 Co
0.0000 0.0000 0.0000 Si
0.2500 0.2500 0.2500 Si
0.8822 0.8822 0.8822 O
0.3533 0.8822 0.8822 O
0.3678 0.3678 0.3678 O
0.8822 0.8822 0.3533 O
0.8967 0.3678 0.3678 O
0.8822 0.3533 0.8822 O
0.3678 0.3678 0.8967 O
0.3678 0.8967 0.3678 O
```

Values from the calculation:
crystal system	cubic
total magnetization	0.857	μB/atom
DOS(E_F)	8.02	states/eV/cell
energy above the most stable polymorph in this dataset	0.173	eV/atom